Cs2CrGaS4, relaxed, DFT PBE; formation energy without anion corrections = -0.94 eV per atom; space-group type = Fddd; crystal system = orthorhombic
1.0
6.1235 0.0000 0.0000
3.0618 6.9362 0.0000
3.0618 0.0000 12.3759
Ga S Cs Cr
2 8 4 2
Cartesian
3.0618 0.0000 0.0000
4.5926 3.4681 6.1880
4.5919 1.2181 11.1803
10.7169 5.7180 11.1803
9.1845 4.6862 7.3836
4.5934 1.2181 1.1956
6.1243 2.2500 7.3836
3.0610 2.2500 4.9923
4.5919 5.7180 1.1956
6.1243 4.6862 4.9923
7.6544 3.4681 1.7967
6.1235 0.0000 4.3912
3.0618 0.0000 7.9847
7.6544 3.4681 10.5792
7.6544 3.4681 6.1880
0.0000 0.0000 0.0000



YbSmHg2, relaxed, DFT PBE; space-group type = Fm-3m; crystal system = cubic; energy relative to the elements = -0.56 eV/atom
1.0
-1.8102 -2.3543 4.4341
3.4373 -1.7097 3.7071
0.3398 2.5235 4.6902
Yb Hg Sm
1 2 1
Cartesian
0.0000 0.0000 0.0000
1.4752 -1.1554 9.6235
0.4917 -0.3851 3.2078
0.9835 -0.7703 6.4157



ThZnIn2, relaxed, DFT PBE; space-group type = R-3m; crystal system = trigonal; energy relative to the elements = -0.12 eV/atom
1.0
-0.3863 3.1337 3.3497
-2.2969 -1.0236 3.8557
3.7484 -1.1537 4.6746
Th In Zn
1 2 1
Cartesian
0.0000 0.0000 0.0000
0.6608 0.0813 3.1631
0.4044 0.8752 8.7168
0.5326 0.4782 5.9400



YPaTc2, relaxed, DFT PBE; space-group type = R-3m; crystal system = trigonal; distance to the lowest polymorph of the same formula = 0.257 eV/atom; energy relative to the elements = 0.05 eV/atom
1.0
-2.6190 0.0685 -2.1879
-0.1838 -2.3008 -2.5146
-5.2529 -5.8733 3.4414
Tc Y Pa
2 1 1
Cartesian
-1.8820 -1.8698 -0.4683
-6.1737 -6.2359 -0.7928
-4.0279 -4.0528 -0.6305
0.0000 0.0000 0.0000



K2Pu2VSe6, relaxed, DFT PBE; formation energy without anion corrections = -1.22 eV per atom; space-group type = C2/m; crystal system = monoclinic
1.0
-5.9019 3.5927 0.5656
-0.2019 -6.5256 -2.3316
1.2243 -1.5917 7.9676
K Pu Se V
2 2 6 1
Cartesian
-4.9224 1.8539 0.0677
-1.1814 -4.7868 -1.8338
-1.4880 -3.9517 2.6170
-3.3915 -0.5728 3.5845
-3.4846 -4.3253 0.6115
-5.2456 -1.1992 1.5066
0.3661 -3.3253 4.6949
-1.0945 -1.1944 2.0180
-1.3949 -0.1992 5.5900
-3.7850 -3.3301 4.1836
0.6122 -0.7959 3.9838



DyZrZn3, relaxed, DFT PBE; space-group type = C2/m; crystal system = monoclinic; energy relative to the elements = -0.20 eV/atom
1.0
-1.9418 -2.8001 -2.7349
4.5616 -3.6677 0.5163
-5.6074 0.2853 7.1794
Dy Zn Zr
2 6 2
Cartesian
-2.4654 -3.3661 5.1968
-0.5221 -2.8163 -0.2360
3.4585 -3.4656 1.0926
1.5131 -4.9127 0.4653
-1.2842 -1.6745 2.6262
-1.7034 -4.5079 2.3346
-6.4460 -2.7168 3.8682
-4.5007 -1.2697 4.4956
-4.0076 -2.7985 2.2205
1.0200 -3.3839 2.7404